Mn2AgBr: relaxed, PBE-GGA. Values from VASP.

Quantum ESPRESSO input file:
```
&SYSTEM
  ibrav = 0, nat = 4, ntyp = 3
/
ATOMIC_SPECIES
Br 79.90 Br.upf
Ag 107.87 Ag.upf
Mn 54.94 Mn.upf
CELL_PARAMETERS angstrom
3.248 0.004 0.000
-0.008 3.248 0.000
0.000 0.000 7.282
ATOMIC_POSITIONS angstrom
Br 1.620 1.626 5.461
Ag 1.620 1.626 1.820
Mn 0.000 0.000 3.439
Mn 0.000 0.000 0.202
```

Values from the calculation:
For the density of states at the Fermi level, the calculation gives 0.7028 states/eV/atom. For the formation energy without anion corrections, the calculation gives 377 meV/atom. As for the size of the total moment: 2.1167 μB/atom. The energy above the lowest structure with this stoichiometry comes out at 45 kJ/mol of formula units. The space-group type is P4/mmm. The electronic total energy is -5.338 eV/atom.

=====

Mn2AgBr: relaxed, PBE-GGA. Values from VASP.

Quantum ESPRESSO input file:
```
&SYSTEM
  ibrav = 0, nat = 4, ntyp = 3
/
ATOMIC_SPECIES
Br 79.90 Br.upf
Ag 107.87 Ag.upf
Mn 54.94 Mn.upf
CELL_PARAMETERS angstrom
-1.946 -0.204 4.633
-4.235 -0.826 2.584
0.464 -5.075 1.021
ATOMIC_POSITIONS angstrom
Br -4.126 -4.895 6.093
Ag -2.974 -2.791 4.169
Mn -5.660 -6.041 8.154
Mn -1.535 -1.535 2.180
```

Values from the calculation:
For the density of states at the Fermi level, the calculation gives 0.6022 states/eV/atom. For the formation energy without anion corrections, the calculation gives 459 meV/atom. As for the size of the total moment: 2.0501 μB/atom. The energy above the lowest structure with this stoichiometry comes out at 77 kJ/mol of formula units. The space-group type is Cm. The electronic total energy is -5.257 eV/atom.